Record 1
# SbClF8 (GGA-PBE, optimized geometry)
data_SbClF8
_chemical_formula_sum 'Sb2 Cl2 F16'
_cell_length_a 5.4827
_cell_length_b 5.7250
_cell_length_c 10.5882
_cell_angle_alpha 90.28
_cell_angle_beta 91.99
_cell_angle_gamma 92.91
_space_group_name_H-M_alt 'P -1'
_space_group_IT_number 2
loop_
_space_group_symop_operation_xyz
'x,y,z'
'-x,-y,-z'
loop_
_atom_site_label
_atom_site_type_symbol
_atom_site_fract_x
_atom_site_fract_y
_atom_site_fract_z
_atom_site_occupancy
Sb1 Sb 0.0000 0.0000 0.0000 1
Sb2 Sb 0.0000 0.0000 0.5000 1
Cl1 Cl 0.3863 0.3703 0.2441 1
F1 F 0.1013 0.1955 0.3555 1
F2 F 0.1332 0.7341 0.4255 1
F3 F 0.1538 0.8227 0.1284 1
F4 F 0.1575 0.2925 0.0720 1
F5 F 0.2708 0.9658 0.8953 1
F6 F 0.3020 0.0723 0.5884 1
F7 F 0.4246 0.4959 0.8479 1
F8 F 0.4536 0.5739 0.6273 1
# DFT total energy   -3.7300 eV per atom
# Uncorrected formation energy   -1.64 eV per atom
# Total magnetization   0.00 μB per cell



Record 2
# SbClF3 (GGA-PBE, optimized geometry)
data_SbClF3
_chemical_formula_sum 'Sb3 Cl3 F9'
_cell_length_a 6.8874
_cell_length_b 6.8874
_cell_length_c 8.6792
_cell_angle_alpha 90.00
_cell_angle_beta 90.00
_cell_angle_gamma 120.00
_space_group_name_H-M_alt 'R 3 m'
_space_group_IT_number 160
_space_group_name_Hall 'R 3 -2"'
loop_
_atom_site_label
_atom_site_type_symbol
_atom_site_fract_x
_atom_site_fract_y
_atom_site_fract_z
_atom_site_occupancy
Sb1 Sb 0.0000 0.0000 0.0000 1
Cl1 Cl 0.0000 0.0000 0.7085 1
F1 F 0.0535 0.5268 0.7778 1
# DFT total energy   -3.9690 eV per atom
# Energy relative to the lowest polymorph listed for this composition   5.56 kcal/mol of atoms
# Uncorrected formation energy   -1.65 eV per atom
# Total magnetization   2.88 μB per cell



Record 3
# Sb3Cl11F4 (GGA-PBE, optimized geometry)
data_Sb3Cl11F4
_chemical_formula_sum 'Sb12 Cl44 F16'
_cell_length_a 9.9647
_cell_length_b 17.5575
_cell_length_c 14.5357
_cell_angle_alpha 90.00
_cell_angle_beta 118.50
_cell_angle_gamma 90.00
_space_group_name_H-M_alt 'P 1 21/c 1'
_space_group_IT_number 14
loop_
_space_group_symop_operation_xyz
'x,y,z'
'-x,-y,-z'
'-x,y+1/2,-z+1/2'
'x,-y+1/2,z+1/2'
loop_
_atom_site_label
_atom_site_type_symbol
_atom_site_fract_x
_atom_site_fract_y
_atom_site_fract_z
_atom_site_occupancy
Sb1 Sb 0.1700 0.1650 0.3695 1
Sb2 Sb 0.1953 0.6888 0.6925 1
Sb3 Sb 0.2794 0.5797 0.2673 1
Cl1 Cl 0.0570 0.5802 0.6103 1
Cl2 Cl 0.1105 0.1852 0.1954 1
Cl3 Cl 0.1591 0.1531 0.5256 1
Cl4 Cl 0.2212 0.6672 0.8580 1
Cl5 Cl 0.2290 0.0493 0.7747 1
Cl6 Cl 0.2387 0.5758 0.0956 1
Cl7 Cl 0.2797 0.6109 0.4235 1
Cl8 Cl 0.3036 0.0521 0.3892 1
Cl9 Cl 0.3673 0.2455 0.9359 1
Cl10 Cl 0.4396 0.6532 0.7284 1
Cl11 Cl 0.4548 0.0798 0.1581 1
F1 F 0.0112 0.2428 0.8387 1
F2 F 0.0388 0.6013 0.1965 1
F3 F 0.1530 0.7355 0.5630 1
F4 F 0.2810 0.7009 0.2501 1
# DFT total energy   -3.3354 eV per atom
# Uncorrected formation energy   -1.10 eV per atom
# Total magnetization   0.00 μB per cell



Record 4
# Sb2ClF (GGA-PBE, optimized geometry)
data_Sb2ClF
_chemical_formula_sum 'Sb8 Cl4 F4'
_cell_length_a 4.4930
_cell_length_b 4.4930
_cell_length_c 18.2694
_cell_angle_alpha 90.00
_cell_angle_beta 90.00
_cell_angle_gamma 90.00
_space_group_name_H-M_alt 'I -4 2 d'
_space_group_IT_number 122
_space_group_name_Hall 'I -4 2bw'
loop_
_atom_site_label
_atom_site_type_symbol
_atom_site_fract_x
_atom_site_fract_y
_atom_site_fract_z
_atom_site_occupancy
Sb1 Sb 0.2143 0.2500 0.1250 1
Cl1 Cl 0.0000 0.0000 0.5000 1
F1 F 0.0000 0.0000 0.0000 1
# DFT total energy   -3.6493 eV per atom
# Energy relative to the lowest polymorph listed for this composition   0.00 kcal/mol of atoms
# Uncorrected formation energy   -0.66 eV per atom
# Total magnetization   0.00 μB per cell



Record 5
# SbCl2F (GGA-PBE, optimized geometry)
data_SbCl2F
_chemical_formula_sum 'Sb3 Cl6 F3'
_cell_length_a 3.5181
_cell_length_b 3.5181
_cell_length_c 24.9838
_cell_angle_alpha 90.00
_cell_angle_beta 90.00
_cell_angle_gamma 120.00
_space_group_name_H-M_alt 'R -3 m'
_space_group_IT_number 166
_space_group_name_Hall '-R 3 2"'
loop_
_atom_site_label
_atom_site_type_symbol
_atom_site_fract_x
_atom_site_fract_y
_atom_site_fract_z
_atom_site_occupancy
Sb1 Sb 0.0000 0.0000 0.0000 1
Cl1 Cl 0.0000 0.0000 0.0949 1
F1 F 0.0000 0.0000 0.5000 1
# DFT total energy   -2.5175 eV per atom
# Energy relative to the lowest polymorph listed for this composition   29.09 kcal/mol of atoms
# Uncorrected formation energy   -0.10 eV per atom
# Total magnetization   0.00 μB per cell



Record 6
# SbCl3F2 (GGA-PBE, optimized geometry)
data_SbCl3F2
_chemical_formula_sum 'Sb8 Cl24 F16'
_cell_length_a 13.5079
_cell_length_b 13.5079
_cell_length_c 7.3753
_cell_angle_alpha 90.00
_cell_angle_beta 90.00
_cell_angle_gamma 90.00
_space_group_name_H-M_alt 'I -4'
_space_group_IT_number 82
loop_
_space_group_symop_operation_xyz
'x,y,z'
'y,-x,-z'
'-x,-y,z'
'-y,x,-z'
'x+1/2,y+1/2,z+1/2'
'y+1/2,-x+1/2,-z+1/2'
'-x+1/2,-y+1/2,z+1/2'
'-y+1/2,x+1/2,-z+1/2'
loop_
_atom_site_label
_atom_site_type_symbol
_atom_site_fract_x
_atom_site_fract_y
_atom_site_fract_z
_atom_site_occupancy
Sb1 Sb 0.0445 0.2156 0.0129 1
Cl1 Cl 0.0369 0.1869 0.3227 1
Cl2 Cl 0.0609 0.6489 0.9981 1
Cl3 Cl 0.1958 0.2965 0.0030 1
F1 F 0.0414 0.1945 0.7573 1
F2 F 0.0775 0.8817 0.9979 1
# DFT total energy   -3.5505 eV per atom
# Uncorrected formation energy   -1.32 eV per atom
# Total magnetization   0.00 μB per cell



Record 7
# SbClF (GGA-PBE, optimized geometry)
data_SbClF
_chemical_formula_sum 'Sb6 Cl6 F6'
_cell_length_a 5.0249
_cell_length_b 5.0249
_cell_length_c 20.1513
_cell_angle_alpha 90.00
_cell_angle_beta 90.00
_cell_angle_gamma 120.00
_space_group_name_H-M_alt 'R -3 m'
_space_group_IT_number 166
_space_group_name_Hall '-R 3 2"'
loop_
_atom_site_label
_atom_site_type_symbol
_atom_site_fract_x
_atom_site_fract_y
_atom_site_fract_z
_atom_site_occupancy
Sb1 Sb 0.0000 0.0000 0.2477 1
Cl1 Cl 0.0000 0.0000 0.3914 1
F1 F 0.0000 0.0000 0.1468 1
# DFT total energy   -3.5517 eV per atom
# Energy relative to the lowest polymorph listed for this composition   3.56 kcal/mol of atoms
# Uncorrected formation energy   -0.94 eV per atom
# Total magnetization   0.00 μB per cell



Record 8
# Sb2ClF (GGA-PBE, optimized geometry)
data_Sb2ClF
_chemical_formula_sum 'Sb8 Cl4 F4'
_cell_length_a 6.9456
_cell_length_b 6.9456
_cell_length_c 6.9456
_cell_angle_alpha 90.00
_cell_angle_beta 90.00
_cell_angle_gamma 90.00
_space_group_name_H-M_alt 'F m -3 m'
_space_group_IT_number 225
_space_group_name_Hall '-F 4 2 3'
loop_
_atom_site_label
_atom_site_type_symbol
_atom_site_fract_x
_atom_site_fract_y
_atom_site_fract_z
_atom_site_occupancy
Sb1 Sb 0.2500 0.2500 0.2500 1
Cl1 Cl 0.0000 0.0000 0.0000 1
F1 F 0.0000 0.0000 0.5000 1
# DFT total energy   -3.2065 eV per atom
# Energy relative to the lowest polymorph listed for this composition   10.21 kcal/mol of atoms
# Uncorrected formation energy   -0.22 eV per atom
# Total magnetization   0.00 μB per cell



Question: What is the total magnetization in the fourth record?
Answer: 0.00 μB per cell